# K4AlBi3S8 (PBE-GGA, relaxed)
# - Symmetry: R-3m (166)
# - Total moment: 0.0 μB per formula unit
# - Final energy: -0.153 Ha/atom
# - Uncorrected formation energy: -0.857 eV per atom
data_K4AlBi3S8
_cell_length_a 8.7530
_cell_length_b 8.7530
_cell_length_c 8.7530
_cell_angle_alpha 55.09
_cell_angle_beta 55.09
_cell_angle_gamma 55.09
_symmetry_space_group_name_H-M 'P 1'
_symmetry_Int_Tables_number 1
_symmetry_space_group_name_Hall 'P 1'
loop_
_atom_site_label
_atom_site_type_symbol
_atom_site_fract_x
_atom_site_fract_y
_atom_site_fract_z
K1 K 0.0000 0.0000 0.0000
K2 K 0.0000 0.5000 0.5000
K3 K 0.5000 0.0000 0.5000
K4 K 0.5000 0.5000 0.0000
Al1 Al 0.5000 0.5000 0.5000
Bi1 Bi 0.0000 0.0000 0.5000
Bi2 Bi 0.0000 0.5000 0.0000
Bi3 Bi 0.5000 0.0000 0.0000
S1 S 0.2388 0.2388 0.2388
S2 S 0.2660 0.7146 0.7146
S3 S 0.2854 0.2854 0.7340
S4 S 0.2854 0.7340 0.2854
S5 S 0.7146 0.2660 0.7146
S6 S 0.7146 0.7146 0.2660
S7 S 0.7340 0.2854 0.2854
S8 S 0.7612 0.7612 0.7612